Record 1
Computed, not measured: LaMg14Sn after structural relaxation at the PBE-GGA level of DFT.

```
LaMg14Sn
1.0
4.086 1.530 -4.944
-5.085 -4.108 -0.858
-6.154 8.152 -2.563
Mg La Sn
14 1 1
Cartesian
2.520 0.567 -4.246 Mg
-2.611 3.881 -3.020 Mg
-2.468 0.865 -1.746 Mg
0.508 -0.186 -1.813 Mg
-8.236 3.001 -3.475 Mg
-0.553 1.800 -4.265 Mg
-2.965 -0.420 -4.636 Mg
-5.061 -1.205 -2.153 Mg
-2.051 -2.243 -2.210 Mg
-5.657 5.090 -3.074 Mg
0.017 -1.455 -4.668 Mg
-3.121 2.567 -5.979 Mg
-3.487 5.687 -5.487 Mg
-6.155 3.806 -5.965 Mg
-5.155 1.816 -3.479 La
-0.443 4.714 -5.579 Sn
```

Output
formation enthalpy at 0 K	-0.05	eV per atom
mass density	2.55	Mg/m³
space group	No. 38
excess energy over the best structure of this formula in the dataset	0	meV per atom

Record 2
Computed, not measured: La2Mg5Sn4 after structural relaxation at the PBE-GGA level of DFT.

```
La2Mg5Sn4
1.0
6.335 0.000 0.000
3.168 5.874 0.000
3.168 0.000 8.233
Sn Mg La
4 5 2
Cartesian
3.168 1.512 2.328 Sn
9.503 4.362 5.904 Sn
6.335 4.362 2.328 Sn
6.335 1.512 5.904 Sn
4.751 2.937 4.116 Mg
7.919 2.937 4.116 Mg
3.168 0.000 0.000 Mg
1.584 2.937 0.000 Mg
4.751 2.937 0.000 Mg
6.335 0.000 2.470 La
3.168 0.000 5.763 La
```

Output
formation enthalpy at 0 K	-0.28	eV per atom
mass density	4.74	Mg/m³
space group	No. 69

Record 3
Computed, not measured: LaMg2Sn after structural relaxation at the PBE-GGA level of DFT.

```
LaMg2Sn
1.0
4.927 0.000 0.000
0.000 4.669 0.000
0.000 0.000 4.669
La Mg Sn
1 2 1
Cartesian
2.464 2.335 2.335 La
0.000 0.000 2.335 Mg
0.000 2.335 0.000 Mg
2.464 0.000 0.000 Sn
```

Output
formation enthalpy at 0 K	-0.42	eV per atom
mass density	4.73	Mg/m³
space group	No. 123

Record 4
Computed, not measured: La2MgSn8 after structural relaxation at the PBE-GGA level of DFT.

```
La2MgSn8
1.0
-4.316 -0.702 1.855
-1.823 -0.347 -4.372
2.241 -13.431 0.130
Sn La Mg
8 2 1
Cartesian
-0.225 -11.937 1.040 Sn
-1.038 -7.066 0.993 Sn
1.021 -11.759 -2.074 Sn
-1.850 -2.196 0.946 Sn
0.209 -6.889 -2.121 Sn
-1.535 -9.722 -1.169 Sn
-0.604 -2.018 -2.168 Sn
-2.363 -4.757 -1.217 Sn
1.511 -9.056 0.088 La
0.730 -4.374 0.042 La
0.000 0.000 0.000 Mg
```

Output
formation enthalpy at 0 K	-0.40	eV per atom
mass density	6.77	Mg/m³
space group	No. 123

Record 5
Computed, not measured: La2MgSn9 after structural relaxation at the PBE-GGA level of DFT.

```
La2MgSn9
1.0
4.784 0.000 0.000
0.000 4.784 0.000
0.000 0.000 14.271
Sn La Mg
9 2 1
Cartesian
2.392 0.000 7.135 Sn
2.392 0.000 12.042 Sn
2.392 2.392 9.599 Sn
0.000 2.392 12.042 Sn
2.392 2.392 4.671 Sn
2.392 0.000 2.228 Sn
0.000 2.392 7.135 Sn
2.392 2.392 0.000 Sn
0.000 2.392 2.228 Sn
0.000 0.000 4.790 La
0.000 0.000 9.481 La
0.000 0.000 0.000 Mg
```

Output
formation enthalpy at 0 K	-0.38	eV per atom
mass density	6.97	Mg/m³
space group	No. 123

Record 6
Computed, not measured: La4Mg3Sn after structural relaxation at the PBE-GGA level of DFT.

```
La4Mg3Sn
1.0
-5.212 1.734 1.013
-4.205 -3.675 0.053
-1.848 -1.996 9.310
Sn Mg La
1 3 4
Cartesian
0.000 0.000 0.000 Sn
-5.633 -1.969 5.188 Mg
-8.466 -2.935 7.664 Mg
-2.799 -1.002 2.711 Mg
-5.144 -2.480 8.579 La
-8.939 -2.441 4.383 La
-2.326 -1.496 5.992 La
-6.122 -1.458 1.796 La
```

Output
formation enthalpy at 0 K	-0.30	eV per atom
mass density	5.02	Mg/m³
space group	No. 166

Record 7
Computed, not measured: LaMg2Sn4 after structural relaxation at the PBE-GGA level of DFT.

```
LaMg2Sn4
1.0
-1.957 -4.487 3.345
-2.503 -2.467 -4.774
4.083 -7.246 -2.077
Sn La Mg
4 1 2
Cartesian
-1.795 -8.545 -2.005 Sn
-1.252 -1.234 -2.387 Sn
-0.978 -2.243 1.672 Sn
1.419 -5.655 -1.502 Sn
0.000 0.000 0.000 La
-0.962 -4.234 -0.988 Mg
0.586 -9.966 -2.518 Mg
```

Output
formation enthalpy at 0 K	0.36	eV per atom
mass density	4.18	Mg/m³
space group	No. 139

Record 8
Computed, not measured: La3MgSn after structural relaxation at the PBE-GGA level of DFT.

```
La3MgSn
1.0
5.235 0.003 0.002
-2.627 6.665 0.817
-0.007 0.904 9.259
Sn La Mg
2 6 2
Cartesian
2.522 2.250 1.695 Sn
-0.094 5.826 3.154 Sn
2.524 2.030 7.849 La
2.524 6.594 1.164 La
-0.099 6.952 6.257 La
-0.094 3.811 0.520 La
-0.096 1.483 3.684 La
2.523 4.265 4.329 La
2.517 5.527 7.607 Mg
-0.091 3.454 6.502 Mg
```

Output
formation enthalpy at 0 K	-0.32	eV per atom
mass density	5.82	Mg/m³
space group	No. 2
excess energy over the best structure of this formula in the dataset	0	meV per atom

Record 9
Computed, not measured: La6Mg5Sn after structural relaxation at the PBE-GGA level of DFT.

```
La6Mg5Sn
1.0
5.311 -0.032 1.770
0.042 7.882 0.014
-0.008 -0.016 8.876
Mg La Sn
5 6 1
Cartesian
3.569 -0.032 6.999 Mg
1.790 3.925 3.554 Mg
3.556 3.909 7.107 Mg
1.735 -0.016 3.647 Mg
0.021 3.941 0.007 Mg
2.666 1.915 0.888 La
0.901 5.892 6.255 La
4.445 1.942 4.406 La
2.688 5.935 0.896 La
4.466 5.877 4.413 La
0.880 1.958 6.248 La
0.000 0.000 0.000 Sn
```

Output
formation enthalpy at 0 K	-0.24	eV per atom
mass density	4.80	Mg/m³
space group	No. 65

Record 10
Computed, not measured: La4Mg5Sn6 after structural relaxation at the PBE-GGA level of DFT.

```
La4Mg5Sn6
1.0
-1.249 -4.290 -1.743
10.818 -0.071 -0.978
1.364 -6.725 15.578
Sn La Mg
12 8 10
Cartesian
8.927 -2.776 0.435 Sn
5.241 -4.228 6.652 Sn
10.158 -7.697 11.668 Sn
1.678 -6.694 8.678 Sn
9.319 -4.657 4.785 Sn
1.058 -4.785 4.422 Sn
8.166 -8.033 7.324 Sn
5.785 -6.193 11.101 Sn
2.048 -8.571 13.032 Sn
5.196 -5.132 2.310 Sn
6.321 -9.958 13.384 Sn
2.409 -1.286 1.440 Sn
6.603 -6.578 4.861 La
4.862 -7.133 14.074 La
7.306 -9.028 10.389 La
3.770 -2.764 4.103 La
9.201 -4.288 -2.636 La
1.735 -5.296 11.794 La
9.239 -5.994 1.535 La
1.053 -3.450 7.739 La
4.012 -4.901 9.189 Mg
0.849 -3.619 1.703 Mg
7.042 -5.526 8.557 Mg
3.540 -3.831 0.295 Mg
7.330 -3.338 2.964 Mg
9.892 -6.519 8.959 Mg
3.109 -6.062 6.097 Mg
3.661 -8.035 10.558 Mg
8.460 -8.159 14.023 Mg
6.585 -4.527 -0.175 Mg
```

Output
formation enthalpy at 0 K	-0.59	eV per atom
mass density	5.34	Mg/m³
space group	No. 36

Record 11
Computed, not measured: La3Mg2Sn after structural relaxation at the PBE-GGA level of DFT.

```
La3Mg2Sn
1.0
-0.329 -1.085 -4.182
-0.478 -5.127 1.368
-7.716 3.414 -0.278
La Mg Sn
3 2 1
Cartesian
-5.794 -2.530 -1.132 La
-0.404 -3.106 -1.407 La
-2.729 -0.268 -1.960 La
-5.182 0.554 0.264 Mg
-3.013 -2.267 0.825 Mg
0.000 0.000 0.000 Sn
```

Output
formation enthalpy at 0 K	-0.36	eV per atom
mass density	5.24	Mg/m³
space group	No. 65

Record 12
Computed, not measured: LaMg6Sn after structural relaxation at the PBE-GGA level of DFT.

```
LaMg6Sn
1.0
3.194 -6.545 0.000
3.194 6.545 0.000
0.000 0.000 4.929
Mg La Sn
6 1 1
Cartesian
1.698 -0.869 2.464 Mg
3.194 -4.692 2.464 Mg
4.762 0.886 0.000 Mg
1.626 0.886 0.000 Mg
4.690 -0.869 2.464 Mg
3.194 -2.711 0.000 Mg
3.194 2.593 2.464 La
3.194 4.774 0.000 Sn
```

Output
formation enthalpy at 0 K	-0.11	eV per atom
mass density	3.25	Mg/m³
space group	No. 38

Copy entry 12 word for word.
Computed, not measured: LaMg6Sn after structural relaxation at the PBE-GGA level of DFT.

```
LaMg6Sn
1.0
3.194 -6.545 0.000
3.194 6.545 0.000
0.000 0.000 4.929
Mg La Sn
6 1 1
Cartesian
1.698 -0.869 2.464 Mg
3.194 -4.692 2.464 Mg
4.762 0.886 0.000 Mg
1.626 0.886 0.000 Mg
4.690 -0.869 2.464 Mg
3.194 -2.711 0.000 Mg
3.194 2.593 2.464 La
3.194 4.774 0.000 Sn
```

Output
formation enthalpy at 0 K	-0.11	eV per atom
mass density	3.25	Mg/m³
space group	No. 38

Question: Look up the mass density of the eleventh one.
Answer: 5.24 Mg/m³